# CsNiO3

Crystalline CsNiO3 at its relaxed geometry (PBE+U, Alexandria via LeMat-Bulk).

CIF file:
```
data_CsNiO3
_chemical_formula_sum 'Cs1 Ni1 O3'
_cell_length_a 4.3540
_cell_length_b 4.3540
_cell_length_c 4.3540
_cell_angle_alpha 90.00
_cell_angle_beta 90.00
_cell_angle_gamma 90.00
_space_group_name_H-M_alt 'P m -3 m'
_space_group_IT_number 221
_space_group_name_Hall '-P 4 2 3'
loop_
_atom_site_label
_atom_site_type_symbol
_atom_site_fract_x
_atom_site_fract_y
_atom_site_fract_z
Cs1 Cs 0.0000 0.0000 0.0000
Ni1 Ni 0.5000 0.5000 0.5000
O1 O 0.0000 0.0000 0.5000
```

**Crystal system**: cubic
**DFT total energy**: -2.3582 eV/atom